ScTa3, relaxed, DFT GGA-PBE; magnetic moment = 1.39 Bohr magnetons per cell; total energy = -29.92 eV per formula unit; symmetry = Pm-3m; polymorph energy (0 for the lowest one) = 2870.4 meV/atom; ΔH_f (0 K) = 2.99 eV/atom; crystal system = cubic
1.0
4.8214 0.0000 0.0000
0.0000 4.8214 0.0000
0.0000 0.0000 4.8214
Sc Ta
1 3
direct
0.0000 0.0000 0.0000
0.0000 0.0000 0.5000
0.0000 0.5000 0.0000
0.5000 0.0000 0.0000